1.
Entry from Alexandria: a geometry-optimized Nd4NiPtBr2 structure (PBE).

Unit cell a=7.1981 b=4.1805 c=8.0995 alpha=90.00 beta=107.28 gamma=90.00
Space group P2/m (No. 10)
Inequivalent atoms, fractional coordinates:
Nd  0.2263  0.0000  0.1944 (multiplicity 2)
Nd  0.2566  0.5000  0.8041 (multiplicity 2)
Ni  0.0000  0.5000  0.0000 (multiplicity 1)
Pt  0.5000  0.0000  0.0000 (multiplicity 1)
Br  0.0000  0.0000  0.5000 (multiplicity 1)
Br  0.5000  0.5000  0.5000 (multiplicity 1)

Summary:
V = 29.09 Å³/atom
Crystal system = monoclinic
Formation energy (no corrections) = -1.018 eV per atom

2.
Entry from Alexandria: a geometry-optimized Tb2Dy6Ho3Zr structure (PBE).

Unit cell a=6.0785 b=10.5091 c=11.6139 alpha=90.00 beta=99.94 gamma=90.00
Space group C2/m (No. 12)
Inequivalent atoms, fractional coordinates:
Tb  0.0000  0.1668  0.0000 (multiplicity 4)
Dy  0.2453  0.3365  0.2457 (multiplicity 8)
Dy  0.2450  0.5000  0.7547 (multiplicity 4)
Ho  0.0000  0.0000  0.5000 (multiplicity 2)
Ho  0.0000  0.3336  0.5000 (multiplicity 4)
Zr  0.0000  0.5000  0.0000 (multiplicity 2)

Summary:
V = 30.45 Å³/atom
Crystal system = monoclinic
Energy relative to the elements = 44 meV/atom

3.
Entry from Alexandria: a geometry-optimized Na5TlCd4 structure (PBE).

Unit cell a=3.7217 b=3.7217 c=19.4335 alpha=90.00 beta=90.00 gamma=90.00
Space group P4/mmm (No. 123)
Inequivalent atoms, fractional coordinates:
Na  0.0000  0.0000  0.0000 (multiplicity 1)
Na  0.0000  0.0000  0.1949 (multiplicity 2)
Na  0.0000  0.0000  0.3940 (multiplicity 2)
Tl  0.5000  0.5000  0.5000 (multiplicity 1)
Cd  0.5000  0.5000  0.0982 (multiplicity 2)
Cd  0.5000  0.5000  0.2925 (multiplicity 2)

Summary:
V = 26.92 Å³/atom
Crystal system = tetragonal
Energy relative to the elements = -67 meV/atom

4.
Entry from Alexandria: a geometry-optimized NbVCo structure (PBE).

Unit cell a=2.8173 b=2.8173 c=10.7203 alpha=90.00 beta=90.00 gamma=90.00
Space group I4mm (No. 107)
Inequivalent atoms, fractional coordinates:
Nb  0.0000  0.0000  0.0000 (multiplicity 2)
V  0.0000  0.0000  0.3050 (multiplicity 2)
Co  0.0000  0.0000  0.6832 (multiplicity 2)

Summary:
V = 14.18 Å³/atom
Crystal system = tetragonal
Energy relative to the elements = -37 meV/atom

5.
Entry from Alexandria: a geometry-optimized AlAsCl2 structure (PBE).

Unit cell a=6.9706 b=6.9706 c=6.9706 alpha=90.00 beta=90.00 gamma=90.00
Space group Fm-3m (No. 225)
Inequivalent atoms, fractional coordinates:
Al  0.0000  0.0000  0.0000 (multiplicity 4)
As  0.0000  0.0000  0.5000 (multiplicity 4)
Cl  0.2500  0.2500  0.2500 (multiplicity 8)

Summary:
V = 21.17 Å³/atom
Crystal system = cubic
Formation energy (no corrections) = 0.300 eV per atom

6.
Entry from Alexandria: a geometry-optimized As2SO structure (PBE).

Unit cell a=4.5720 b=4.5720 c=13.8874 alpha=90.00 beta=90.00 gamma=90.00
Space group I-42d (No. 122)
Inequivalent atoms, fractional coordinates:
As  0.1506  0.2500  0.1250 (multiplicity 8)
S  0.0000  0.0000  0.5000 (multiplicity 4)
O  0.0000  0.0000  0.0000 (multiplicity 4)

Summary:
V = 18.14 Å³/atom
Crystal system = tetragonal
Formation energy (no corrections) = 0.007 eV per atom